(1)
# DyTaAl2 PBE relaxed
data_DyTaAl2
_space_group_name_H-M_alt 'R -3 m'
_space_group_IT_number 166
_space_group_name_Hall '-R 3 2"'
_cell_length_a 3.0567
_cell_length_b 3.0567
_cell_length_c 29.7345
_cell_angle_alpha 90.00
_cell_angle_beta 90.00
_cell_angle_gamma 120.00
loop_
_atom_site_label
_atom_site_type_symbol
_atom_site_fract_x
_atom_site_fract_y
_atom_site_fract_z
_atom_site_occupancy
Dy1 Dy 0.0000 0.0000 0.0000 1
Ta1 Ta 0.0000 0.0000 0.5000 1
Al1 Al 0.0000 0.0000 0.2423 1
# Formation energy from the elements = 0.063 eV per formula unit
# Size of the total moment = 0.0 Bohr magnetons per cell
# ΔE to the lowest computed polymorph = 0.73 eV per formula unit


(2)
# Y2Te2S PBE relaxed
data_Y2Te2S
_space_group_name_H-M_alt 'P 4/m b m'
_space_group_IT_number 127
_space_group_name_Hall '-P 4 2ab'
_cell_length_a 7.9159
_cell_length_b 7.9159
_cell_length_c 4.2871
_cell_angle_alpha 90.00
_cell_angle_beta 90.00
_cell_angle_gamma 90.00
loop_
_atom_site_label
_atom_site_type_symbol
_atom_site_fract_x
_atom_site_fract_y
_atom_site_fract_z
_atom_site_occupancy
Y1 Y 0.1683 0.3317 0.0000 1
Te1 Te 0.1437 0.6437 0.5000 1
S1 S 0.0000 0.0000 0.0000 1
# Size of the total moment = 0.0 Bohr magnetons per cell
# E_form (uncorrected) = -1.395 eV/atom
# ΔE to the lowest computed polymorph = 0.98 eV per formula unit


(3)
# AcPmIr2 PBE relaxed
data_AcPmIr2
_space_group_name_H-M_alt 'F m -3 m'
_space_group_IT_number 225
_space_group_name_Hall '-F 4 2 3'
_cell_length_a 7.2440
_cell_length_b 7.2440
_cell_length_c 7.2440
_cell_angle_alpha 90.00
_cell_angle_beta 90.00
_cell_angle_gamma 90.00
loop_
_atom_site_label
_atom_site_type_symbol
_atom_site_fract_x
_atom_site_fract_y
_atom_site_fract_z
_atom_site_occupancy
Ac1 Ac 0.0000 0.0000 0.0000 1
Pm1 Pm 0.0000 0.0000 0.5000 1
Ir1 Ir 0.2500 0.2500 0.2500 1
# Formation energy from the elements = -1.890 eV per formula unit
# Size of the total moment = 0.0 Bohr magnetons per cell
# ΔE to the lowest computed polymorph = 0.51 eV per formula unit


(4)
# LiCo2Mo2 PBE relaxed
data_LiCo2Mo2
_space_group_name_H-M_alt 'P 4/m b m'
_space_group_IT_number 127
_space_group_name_Hall '-P 4 2ab'
_cell_length_a 7.2027
_cell_length_b 7.2027
_cell_length_c 2.6634
_cell_angle_alpha 90.00
_cell_angle_beta 90.00
_cell_angle_gamma 90.00
loop_
_atom_site_label
_atom_site_type_symbol
_atom_site_fract_x
_atom_site_fract_y
_atom_site_fract_z
_atom_site_occupancy
Li1 Li 0.0000 0.0000 0.0000 1
Co1 Co 0.1265 0.3735 0.0000 1
Mo1 Mo 0.1664 0.6664 0.5000 1
# Formation energy from the elements = 0.872 eV per formula unit
# Size of the total moment = 0.0 Bohr magnetons per cell
# ΔE to the lowest computed polymorph = 0.00 eV per formula unit


(5)
# BaUSb2Pt2 PBE relaxed
data_BaUSb2Pt2
_space_group_name_H-M_alt 'P -3 m 1'
_space_group_IT_number 164
_space_group_name_Hall '-P 3 2"'
_cell_length_a 4.5436
_cell_length_b 4.5436
_cell_length_c 8.9161
_cell_angle_alpha 90.00
_cell_angle_beta 90.00
_cell_angle_gamma 120.00
loop_
_atom_site_label
_atom_site_type_symbol
_atom_site_fract_x
_atom_site_fract_y
_atom_site_fract_z
_atom_site_occupancy
Ba1 Ba 0.0000 0.0000 0.0000 1
U1 U 0.0000 0.0000 0.5000 1
Sb1 Sb 0.3333 0.6667 0.7377 1
Pt1 Pt 0.3333 0.6667 0.3286 1
# Size of the total moment = 2.3 Bohr magnetons per cell
# E_form (uncorrected) = -0.814 eV/atom


(6)
# KBH2F8 PBE relaxed
data_KBH2F8
_space_group_name_H-M_alt 'P -1'
_space_group_IT_number 2
_cell_length_a 4.0698
_cell_length_b 5.1128
_cell_length_c 7.4957
_cell_angle_alpha 102.72
_cell_angle_beta 91.92
_cell_angle_gamma 103.44
loop_
_space_group_symop_operation_xyz
'x,y,z'
'-x,-y,-z'
loop_
_atom_site_label
_atom_site_type_symbol
_atom_site_fract_x
_atom_site_fract_y
_atom_site_fract_z
_atom_site_occupancy
K1 K 0.0000 0.0000 0.0000 1
B1 B 0.0000 0.0000 0.5000 1
H1 H 0.3864 0.4783 0.7981 1
F1 F 0.1547 0.1492 0.3817 1
F2 F 0.1920 0.7334 0.4276 1
F3 F 0.3789 0.1974 0.7030 1
F4 F 0.3827 0.6575 0.8810 1
# Uncorrected energy = -4.17 eV per atom
# Size of the total moment = 2.1 Bohr magnetons per cell